[1]
This record from Alexandria describes KCd2Ir after structural relaxation. The functional is PBE.

Values from the calculation:
Magnetization   0.00 Bohr magnetons per cell
ΔE to the lowest computed polymorph   246 meV/atom
E_form   0.418 eV per atom

The structure in POSCAR format:
```
KCd2Ir
1.0
5.651 0.000 0.000
0.000 5.651 0.000
0.000 0.000 17.797
K Cd Ir
4 8 4
Cartesian
0.000 1.413 6.674 K
0.000 4.238 11.123 K
2.825 1.413 2.225 K
2.825 4.238 15.572 K
0.000 0.000 0.000 Cd
0.000 2.825 0.000 Cd
1.413 1.413 13.347 Cd
1.413 4.238 4.449 Cd
2.825 0.000 8.898 Cd
2.825 2.825 8.898 Cd
4.238 1.413 13.347 Cd
4.238 4.238 4.449 Cd
0.000 1.413 15.572 Ir
0.000 4.238 2.225 Ir
2.825 1.413 11.123 Ir
2.825 4.238 6.674 Ir
```

=====

[2]
This record from Alexandria describes SrCrTc after structural relaxation. The functional is PBE.

Values from the calculation:
Magnetization   3.48 Bohr magnetons per cell
ΔE to the lowest computed polymorph   0 meV/atom
E_form   0.580 eV per atom

The structure in POSCAR format:
```
SrCrTc
1.0
3.256 0.000 0.000
0.000 3.256 0.000
0.000 0.000 11.986
Sr Cr Tc
2 2 2
Cartesian
0.000 0.000 0.000 Sr
1.628 1.628 5.993 Sr
0.000 0.000 3.396 Cr
1.628 1.628 9.389 Cr
0.000 0.000 8.473 Tc
1.628 1.628 2.480 Tc
```

=====

[3]
This record from Alexandria describes Pd2RhF6 after structural relaxation. The functional is PBE.

Values from the calculation:
Magnetization   3.02 Bohr magnetons per cell
Energy   -4.243 eV/atom

The structure in POSCAR format:
```
Pd2RhF6
1.0
5.065 -1.585 0.000
5.065 1.585 0.000
-1.611 0.000 8.322
Pd Rh F
2 1 6
Cartesian
1.902 0.000 1.379 Pd
6.617 0.000 6.944 Pd
-0.806 0.000 4.161 Rh
0.038 0.000 2.348 F
3.652 0.000 0.180 F
3.090 0.000 3.522 F
5.429 0.000 4.801 F
4.867 0.000 8.143 F
8.481 0.000 5.974 F
```

=====

[4]
This record from Alexandria describes K2Na2PO4 after structural relaxation. The functional is PBE.

Values from the calculation:
Magnetization   0.00 Bohr magnetons per cell
Energy   -4.558 eV/atom

The structure in POSCAR format:
```
K2Na2PO4
1.0
-2.887 2.887 3.967
2.887 -2.887 3.967
2.887 2.887 -3.967
K Na P O
2 2 1 4
Cartesian
2.887 0.000 1.983 K
0.000 2.887 1.983 K
0.000 0.000 1.151 Na
0.000 0.000 6.783 Na
0.000 0.000 3.967 P
1.689 1.689 0.000 O
1.198 -1.198 3.967 O
-1.198 1.198 3.967 O
1.198 1.198 3.967 O
```

=====

[5]
This record from Alexandria describes K2UAlO6 after structural relaxation. The functional is PBE.

Values from the calculation:
Magnetization   1.08 Bohr magnetons per cell
Energy   -7.181 eV/atom

The structure in POSCAR format:
```
K2UAlO6
1.0
0.000 4.050 4.050
4.050 0.000 4.050
4.050 4.050 0.000
K U Al O
2 1 1 6
Cartesian
2.025 2.025 2.025 K
6.075 6.075 6.075 K
0.000 0.000 0.000 U
4.050 4.050 4.050 Al
4.050 4.050 2.097 O
4.050 2.097 4.050 O
6.003 4.050 4.050 O
2.097 4.050 4.050 O
4.050 6.003 4.050 O
4.050 4.050 6.003 O
```

=====

[6]
This record from Alexandria describes La2TbPt after structural relaxation. The functional is PBE.

Values from the calculation:
Magnetization   0.00 Bohr magnetons per cell
ΔE to the lowest computed polymorph   0 meV/atom
E_form   -0.648 eV per atom

The structure in POSCAR format:
```
La2TbPt
1.0
7.259 0.000 0.000
0.000 10.285 0.000
0.000 0.000 6.621
La Tb Pt
8 4 4
Cartesian
1.296 0.645 1.157 La
1.296 4.497 1.157 La
2.333 5.787 4.467 La
2.333 9.640 4.467 La
4.926 0.645 2.154 La
4.926 4.497 2.154 La
5.963 5.787 5.465 La
5.963 9.640 5.465 La
0.237 2.571 4.335 Tb
3.392 7.714 1.025 Tb
3.867 2.571 5.597 Tb
7.022 7.714 2.286 Tb
0.877 7.714 6.246 Pt
2.752 2.571 2.936 Pt
4.507 7.714 3.686 Pt
6.382 2.571 0.375 Pt
```

=====

[7]
This record from Alexandria describes Cd14SnAu after structural relaxation. The functional is PBE.

Values from the calculation:
Magnetization   0.00 Bohr magnetons per cell
E_form   0.003 eV per atom

The structure in POSCAR format:
```
Cd14SnAu
1.0
6.365 0.000 0.000
0.000 6.365 0.000
0.000 0.000 8.892
Cd Sn Au
14 1 1
Cartesian
0.000 0.000 0.000 Cd
0.000 3.183 0.000 Cd
0.000 3.183 4.446 Cd
1.542 1.542 2.235 Cd
1.542 1.542 6.657 Cd
1.542 4.823 2.235 Cd
1.542 4.823 6.657 Cd
3.183 0.000 0.000 Cd
3.183 0.000 4.446 Cd
3.183 3.183 0.000 Cd
4.823 1.542 2.235 Cd
4.823 1.542 6.657 Cd
4.823 4.823 2.235 Cd
4.823 4.823 6.657 Cd
3.183 3.183 4.446 Sn
0.000 0.000 4.446 Au
```

=====

[8]
This record from Alexandria describes V2Ga2Pb after structural relaxation. The functional is PBE.

Values from the calculation:
Magnetization   0.00 Bohr magnetons per cell
ΔE to the lowest computed polymorph   67 meV/atom
E_form   0.217 eV per atom

The structure in POSCAR format:
```
V2Ga2Pb
1.0
8.019 0.000 0.000
0.000 8.019 0.000
0.000 0.000 2.810
V Ga Pb
4 4 2
Cartesian
0.864 3.145 0.000 V
3.145 7.155 0.000 V
4.873 0.864 0.000 V
7.155 4.873 0.000 V
1.414 5.423 1.405 Ga
2.595 1.414 1.405 Ga
5.423 6.605 1.405 Ga
6.605 2.595 1.405 Ga
0.000 0.000 1.405 Pb
4.009 4.009 1.405 Pb
```

=====

- What is the magnetization in the second record?
  3.48 Bohr magnetons per cell

=====

What did the third record say?
This record from Alexandria describes Pd2RhF6 after structural relaxation. The functional is PBE.

Values from the calculation:
Magnetization   3.02 Bohr magnetons per cell
Energy   -4.243 eV/atom

The structure in POSCAR format:
```
Pd2RhF6
1.0
5.065 -1.585 0.000
5.065 1.585 0.000
-1.611 0.000 8.322
Pd Rh F
2 1 6
Cartesian
1.902 0.000 1.379 Pd
6.617 0.000 6.944 Pd
-0.806 0.000 4.161 Rh
0.038 0.000 2.348 F
3.652 0.000 0.180 F
3.090 0.000 3.522 F
5.429 0.000 4.801 F
4.867 0.000 8.143 F
8.481 0.000 5.974 F
```